1.
The following is a PBE-GGA calculation of a relaxed structure of Ni3SnGe, from Alexandria via LeMat-Bulk.

Cell: 4.3766 4.3766 4.3766 Å, 90.00 90.00 90.00°
Last column: nearest neighbours and their distance in Å.
Sites, in units of the cell vectors:
Ni: 0.5000 0.0000 0.0000  2 Ge 2.19
Ni: 0.0000 0.0000 0.5000  2 Ge 2.19
Ni: 0.0000 0.5000 0.0000  2 Ge 2.19
Ge: 0.0000 0.0000 0.0000  6 Ni 2.19
Sn: 0.5000 0.5000 0.5000  12 Ni 3.09

Results
- polymorph energy (0 for the lowest one) (meV/atom) = 470
- VASP energy (eV/atom) = -4.86
- D(E_F) (states/eV/f.u.) = 3.5
- space-group type = Pm-3m
- ΔH_f (0 K) (eV per atom) = 0.337

---

2.
The following is a PBE-GGA calculation of a relaxed structure of Ni2SnGe, from Alexandria via LeMat-Bulk.

Cell: 4.3856 4.3856 4.3856 Å, 60.00 60.00 60.00°
Last column: nearest neighbours and their distance in Å.
Sites, in units of the cell vectors:
Ni: 0.7500 0.7500 0.7500  4 Ge 2.69, 4 Sn 2.69
Ni: 0.2500 0.2500 0.2500  4 Ge 2.69, 4 Sn 2.69
Sn: 0.5000 0.5000 0.5000  8 Ni 2.69
Ge: 0.0000 0.0000 0.0000  8 Ni 2.69

Results
- polymorph energy (0 for the lowest one) (meV/atom) = 256
- VASP energy (eV/atom) = -5.04
- D(E_F) (states/eV/f.u.) = 2.3
- space-group type = Fm-3m
- ΔH_f (0 K) (eV per atom) = 0.002

---

3.
The following is a PBE-GGA calculation of a relaxed structure of NiSnGe, from Alexandria via LeMat-Bulk.

Cell: 4.0466 4.0345 4.0345 Å, 120.00 90.00 90.00°
Last column: nearest neighbours and their distance in Å.
Sites, in units of the cell vectors:
Ge: 0.1981 0.3333 0.6667  3 Ni 2.37
Sn: 0.7059 0.6667 0.3333  3 Ni 2.81, 6 Ge 3.06-3.11
Ni: 0.0960 0.0000 0.0000  3 Ge 2.37

Results
- VASP energy (eV/atom) = -4.76
- D(E_F) (states/eV/f.u.) = 1.6
- space-group type = P3m1
- ΔH_f (0 K) (eV per atom) = 0.043